1.
# LiAlIn

A relaxed LiAlIn crystal (PBE, Alexandria).

Structure (CIF):
```
data_LiAlIn
_symmetry_space_group_name_H-M 'P -1'
_symmetry_Int_Tables_number 2
_symmetry_space_group_name_Hall '-P 1'
_cell_length_a 3.054
_cell_length_b 5.211
_cell_length_c 7.814
_cell_angle_alpha 109.30
_cell_angle_beta 100.36
_cell_angle_gamma 90.46
loop_
_atom_site_label
_atom_site_type_symbol
_atom_site_fract_x
_atom_site_fract_y
_atom_site_fract_z
Li1 Li 0.081 0.267 0.165
Al1 Al 0.253 0.728 0.501
In1 In 0.416 0.220 0.825
```

As for the crystal system: triclinic. The theoretical density is 4.3 g cm⁻³. The value obtained for the calculated volume is 19.2 Å³ per atom. The calculation puts the energy above the most stable polymorph in this dataset at 0.0052 eV per atom.

***

2.
# Li5AlIn

A relaxed Li5AlIn crystal (PBE, Alexandria).

Structure (CIF):
```
data_Li5AlIn
_symmetry_space_group_name_H-M 'C 1 2/c 1'
_symmetry_Int_Tables_number 15
_symmetry_space_group_name_Hall '-C 2yc'
_cell_length_a 6.436
_cell_length_b 8.068
_cell_length_c 9.865
_cell_angle_alpha 90.00
_cell_angle_beta 104.17
_cell_angle_gamma 90.00
loop_
_atom_site_label
_atom_site_type_symbol
_atom_site_fract_x
_atom_site_fract_y
_atom_site_fract_z
Li1 Li 0.000 0.128 0.250
Li2 Li 0.115 0.459 0.156
Li3 Li 0.179 0.099 0.041
Al1 Al 0.000 0.223 0.750
In1 In 0.250 0.250 0.500
```

Its total energy is -2.41 eV per atom. As for the crystal system: monoclinic. The theoretical density is 2.4 g cm⁻³. The value obtained for the calculated volume is 17.7 Å³ per atom.

***

3.
# LiAlIn

A relaxed LiAlIn crystal (PBE, Alexandria).

Structure (CIF):
```
data_LiAlIn
_symmetry_space_group_name_H-M 'P 1'
_symmetry_Int_Tables_number 1
_symmetry_space_group_name_Hall 'P 1'
_cell_length_a 4.266
_cell_length_b 5.112
_cell_length_c 6.027
_cell_angle_alpha 105.60
_cell_angle_beta 90.05
_cell_angle_gamma 113.57
loop_
_atom_site_label
_atom_site_type_symbol
_atom_site_fract_x
_atom_site_fract_y
_atom_site_fract_z
Li1 Li 0.000 0.000 0.000
Li2 Li 0.322 0.638 0.650
Al1 Al 0.671 0.333 0.338
Al2 Al 0.997 0.988 0.490
In1 In 0.337 0.671 0.164
In2 In 0.651 0.299 0.818
```

As for the crystal system: triclinic. The theoretical density is 4.3 g cm⁻³. The value obtained for the calculated volume is 19.2 Å³ per atom. The calculation puts the energy above the most stable polymorph in this dataset at 0.0083 eV per atom.